Below is an optimized crystal structure of Ba2TlIrI, with properties calculated at the PBE level.

Properties
Volume, Å³/f.u.: 199
ΔE_f (raw), eV per formula unit: -3.03
Symmetry: P4/mmm

Cell: 6.1534 6.1534 5.2539 Å, 90.00 90.00 90.00°
Sites, in units of the cell vectors:
Ba  0.0000  0.5000  0.0000
Ba  0.5000  0.0000  0.0000
Tl  0.0000  0.0000  0.5000
I  0.5000  0.5000  0.5000
Ir  0.0000  0.0000  0.0000